Cs2BiRu | PBE | optimized geometry

Cell: 9.943 9.943 9.943 Å, 93.93 93.93 149.65°
Fractional positions:
Cs  0.375  0.174  0.299
Cs  0.826  0.125  0.201
Cs  0.875  0.076  0.701
Cs  0.924  0.625  0.799
Bi  0.250  0.750  0.500
Bi  0.500  0.500  0.000
Ru  0.000  0.000  0.000
Ru  0.750  0.250  0.500

Computed properties:
* density of states at the Fermi level: 6.126 states/eV/cell
* space group: I-42d
* final energy: -3.274 eV/atom